DFT (PBE-GGA) results for a geometry-optimized PO structure.

energy above the lowest structure with this stoichiometry = 0 meV/atom
formation energy (no corrections) = -103.3 kJ/mol of atoms
space group = Cm (8)
calculated total energy = -6.255 eV/atom

Cell: 4.286 4.286 4.788 Å, 118.81 118.81 47.84°
Positions (direct):
P1 0.000 0.000 0.000
P2 0.530 0.530 0.710
O1 0.366 0.366 0.350
O2 0.743 0.743 0.740